Entry 1:
Here is a geometry-optimized CsHoTe2O8 structure from the Alexandria database. Energies are from PBE.

a b c (Å): 5.8293 5.8293 9.1433
angles (deg): 90.00 90.00 120.00
Fractional coordinates of all 12 atoms:
Cs 0.0000 0.0000 0.0000
Ho 0.0000 0.0000 0.5000
Te 0.6667 0.3333 0.2824
Te 0.3333 0.6667 0.7176
O 0.3333 0.6667 0.9167
O 0.3376 0.2551 0.3510
O 0.7449 0.0825 0.3510
O 0.6667 0.3333 0.0833
O 0.2551 0.9175 0.6490
O 0.6624 0.7449 0.6490
O 0.0825 0.3376 0.6490
O 0.9175 0.6624 0.3510

Computed properties:
The raw formation energy is -1602 meV/atom. As for the density of states at the Fermi level: 0.00 states/eV/f.u. For the total energy, the calculation gives -70.61 eV for the cell shown. The calculated volume is 269.1 Å³ per cell.

Entry 2:
Here is a geometry-optimized HfBeCo2 structure from the Alexandria database. Energies are from PBE.

a b c (Å): 2.9938 2.9938 5.5228
angles (deg): 90.00 90.00 90.00
Fractional coordinates of all 4 atoms:
Co 0.0000 0.0000 0.7842
Co 0.0000 0.0000 0.2158
Hf 0.5000 0.5000 0.5000
Be 0.5000 0.5000 0.0000

Computed properties:
As for the density of states at the Fermi level: 2.28 states/eV/f.u. For the total energy, the calculation gives -28.98 eV for the cell shown. The calculated volume is 49.5 Å³ per cell.

Entry 3:
Here is a geometry-optimized Mg5PtAu6 structure from the Alexandria database. Energies are from PBE.

a b c (Å): 4.5470 7.9649 7.9649
angles (deg): 118.27 106.58 106.58
Fractional coordinates of all 12 atoms:
Mg 0.5000 0.1524 0.8476
Mg 0.0000 0.3284 0.6716
Mg 0.5000 0.5000 0.5000
Mg 0.0000 0.6716 0.3284
Mg 0.5000 0.8476 0.1524
Au 0.2572 0.0873 0.4274
Au 0.7428 0.5726 0.9127
Au 0.7710 0.2714 0.2714
Au 0.2290 0.7286 0.7286
Au 0.2572 0.4274 0.0873
Au 0.7428 0.9127 0.5726
Pt 0.0000 0.0000 0.0000

Computed properties:
As for the density of states at the Fermi level: 5.12 states/eV/f.u. For the total energy, the calculation gives -40.22 eV for the cell shown. The calculated volume is 211.1 Å³ per cell.

Entry 4:
Here is a geometry-optimized NaU3Te6Pd2 structure from the Alexandria database. Energies are from PBE.

a b c (Å): 4.3889 9.5993 10.1490
angles (deg): 107.68 102.49 90.00
Fractional coordinates of all 12 atoms:
Na 0.5000 0.0000 0.0000
U 0.5000 0.5000 0.0000
U 0.8322 0.1650 0.6644
U 0.1678 0.8350 0.3356
Te 0.3302 0.9377 0.6605
Te 0.6784 0.6122 0.3567
Te 0.6698 0.0623 0.3395
Te 0.9960 0.2465 0.9920
Te 0.0040 0.7535 0.0080
Te 0.3216 0.3878 0.6433
Pd 0.8990 0.4969 0.7980
Pd 0.1010 0.5031 0.2020

Computed properties:
The raw formation energy is -614 meV/atom. As for the density of states at the Fermi level: 16.37 states/eV/f.u. For the total energy, the calculation gives -71.79 eV for the cell shown. The calculated volume is 396.7 Å³ per cell.

Entry 5:
Here is a geometry-optimized V3B2 structure from the Alexandria database. Energies are from PBE.

a b c (Å): 5.7240 5.7240 3.0141
angles (deg): 90.00 90.00 90.00
Fractional coordinates of all 10 atoms:
V 0.0000 0.0000 0.0000
V 0.5000 0.5000 0.0000
V 0.3216 0.8216 0.5000
V 0.8216 0.6784 0.5000
V 0.1784 0.3216 0.5000
V 0.6784 0.1784 0.5000
B 0.1106 0.6106 0.0000
B 0.6106 0.8894 0.0000
B 0.3894 0.1106 0.0000
B 0.8894 0.3894 0.0000

Computed properties:
The relative energy among the computed polymorphs is 0 meV/atom. As for the density of states at the Fermi level: 1.92 states/eV/f.u. For the total energy, the calculation gives -88.65 eV for the cell shown. The calculated volume is 98.8 Å³ per cell.

Entry 6:
Here is a geometry-optimized SbI2O structure from the Alexandria database. Energies are from PBE.

a b c (Å): 7.5096 7.5096 6.6847
angles (deg): 55.83 55.83 90.00
Fractional coordinates of all 8 atoms:
I 0.5885 0.1250 0.2500
I 0.1615 0.6250 0.2500
I 0.3750 0.4115 0.7500
I 0.8750 0.8385 0.7500
Sb 0.0000 0.0000 0.0000
Sb 0.7500 0.2500 0.5000
O 0.5000 0.5000 0.0000
O 0.2500 0.7500 0.5000

Computed properties:
The relative energy among the computed polymorphs is 822 meV/atom. The raw formation energy is 467 meV/atom. As for the density of states at the Fermi level: 0.07 states/eV/f.u. For the total energy, the calculation gives -20.63 eV for the cell shown. The calculated volume is 229.0 Å³ per cell.

Entry 7:
Here is a geometry-optimized Zn2Ag3Au7 structure from the Alexandria database. Energies are from PBE.

a b c (Å): 2.8886 4.7645 16.2853
angles (deg): 102.97 90.00 90.00
Fractional coordinates of all 12 atoms:
Zn 0.5000 0.5408 0.2929
Zn 0.5000 0.4592 0.7071
Ag 0.5000 0.5000 0.0000
Ag 0.0000 0.1534 0.3784
Ag 0.0000 0.8466 0.6216
Au 0.5000 0.7154 0.4519
Au 0.5000 0.2846 0.5481
Au 0.0000 0.4305 0.1502
Au 0.0000 0.0000 0.0000
Au 0.0000 0.5695 0.8498
Au 0.5000 0.0253 0.7880
Au 0.5000 0.9747 0.2120

Computed properties:
The relative energy among the computed polymorphs is 0 meV/atom. As for the density of states at the Fermi level: 2.85 states/eV/f.u. For the total energy, the calculation gives -34.51 eV for the cell shown. The calculated volume is 218.4 Å³ per cell.